Density functional theory data (PBE-GGA) for an optimized crystal structure of DyBe2GePd2.

The value obtained for the density of states at the Fermi level is 1.61 states/eV per cell. The electronic total energy is -28.37 eV per cell. The calculation puts the energy of formation at -0.22 eV/atom.

It has space group P4/mmm (No. 123), with a = 4.166 Å, b = 4.166 Å, c = 5.638 Å, α = 90.00°, β = 90.00° and γ = 90.00°. The inequivalent atoms are Dy at (0.000, 0.000, 0.000), Be at (0.000, 0.500, 0.500), Ge at (0.000, 0.000, 0.500) and Pd at (0.500, 0.500, 0.248).

---

Density functional theory data (PBE-GGA) for an optimized crystal structure of Tb3Sn4Pt3.

The value obtained for the density of states at the Fermi level is 35.85 states/eV per cell. The electronic total energy is -227.84 eV per cell. The calculation puts the energy of formation at -0.89 eV/atom.

It has space group I-43d (No. 220), with a = 9.839 Å, b = 9.839 Å, c = 9.839 Å, α = 90.00°, β = 90.00° and γ = 90.00°. The inequivalent atoms are Tb at (0.000, 0.250, 0.875), Sn at (0.081, 0.419, 0.581) and Pt at (0.000, 0.250, 0.375).

---

Density functional theory data (PBE-GGA) for an optimized crystal structure of Er4AlTe3.

The value obtained for the uncorrected formation energy is -1.02 eV/atom. The value obtained for the density of states at the Fermi level is 5.81 states/eV per cell. The electronic total energy is -79.09 eV per cell.

It has space group Cmmm (No. 65), with a = 8.801 Å, b = 12.253 Å, c = 4.216 Å, α = 90.00°, β = 90.00° and γ = 90.00°. The inequivalent atoms are Er at (0.000, 0.236, 0.000), Er at (0.233, 0.000, 0.500), Al at (0.000, 0.000, 0.000), Te at (0.000, 0.500, 0.000) and Te at (0.250, 0.250, 0.500).

---

Density functional theory data (PBE-GGA) for an optimized crystal structure of HgPt2Rh.

The value obtained for the density of states at the Fermi level is 11.51 states/eV per cell. The electronic total energy is -38.76 eV per cell. The calculation puts the energy of formation at 0.09 eV/atom.

It has space group C2/m (No. 12), with a = 9.426 Å, b = 2.871 Å, c = 4.937 Å, α = 90.00°, β = 99.81° and γ = 90.00°. The inequivalent atoms are Hg at (0.000, 0.000, 0.000), Pt at (0.245, 0.000, 0.737) and Rh at (0.000, 0.500, 0.500).

---

Density functional theory data (PBE-GGA) for an optimized crystal structure of PmMnCu2.

The value obtained for the density of states at the Fermi level is 2.79 states/eV per cell. The electronic total energy is -21.82 eV per cell. The calculation puts the energy of formation at 0.07 eV/atom.

It has space group P4/mmm (No. 123), with a = 3.242 Å, b = 3.242 Å, c = 6.712 Å, α = 90.00°, β = 90.00° and γ = 90.00°. The inequivalent atoms are Pm at (0.000, 0.000, 0.000), Mn at (0.000, 0.000, 0.500) and Cu at (0.500, 0.500, 0.309).

---

Density functional theory data (PBE-GGA) for an optimized crystal structure of BeNbZn2.

The value obtained for the density of states at the Fermi level is 19.02 states/eV per cell. The electronic total energy is -60.23 eV per cell. The calculation puts the energy of formation at 0.32 eV/atom.

It has space group I-42d (No. 122), with a = 6.835 Å, b = 6.835 Å, c = 5.047 Å, α = 90.00°, β = 90.00° and γ = 90.00°. The inequivalent atoms are Be at (0.000, 0.000, 0.000), Nb at (0.000, 0.000, 0.500) and Zn at (0.200, 0.250, 0.125).

---

Density functional theory data (PBE-GGA) for an optimized crystal structure of Li2ThTl4.

The value obtained for the density of states at the Fermi level is 3.40 states/eV per cell. The electronic total energy is -21.59 eV per cell. The calculation puts the energy of formation at -0.13 eV/atom.

It has space group P4/mmm (No. 123), with a = 4.921 Å, b = 4.921 Å, c = 7.479 Å, α = 90.00°, β = 90.00° and γ = 90.00°. The inequivalent atoms are Li at (0.000, 0.000, 0.000), Li at (0.500, 0.500, 0.500), Th at (0.000, 0.000, 0.500) and Tl at (0.000, 0.500, 0.211).

---

Density functional theory data (PBE-GGA) for an optimized crystal structure of CsCeP2O6.

The value obtained for the uncorrected formation energy is -2.49 eV/atom. The value obtained for the density of states at the Fermi level is 33.71 states/eV per cell. The electronic total energy is -288.86 eV per cell.

It has space group C2/c (No. 15), with a = 8.078 Å, b = 11.219 Å, c = 8.612 Å, α = 90.00°, β = 92.98° and γ = 90.00°. The inequivalent atoms are Cs at (0.000, 0.063, 0.250), Ce at (0.000, 0.330, 0.750), P at (0.113, 0.364, 0.179), O at (0.063, 0.309, 0.020), O at (0.154, 0.499, 0.171) and O at (0.242, 0.205, 0.738).

---

Density functional theory data (PBE-GGA) for an optimized crystal structure of PtWSe2N.

The value obtained for the uncorrected formation energy is 0.58 eV/atom. The value obtained for the density of states at the Fermi level is 5.06 states/eV per cell. The electronic total energy is -31.40 eV per cell.

It has space group P4/mmm (No. 123), with a = 5.015 Å, b = 5.015 Å, c = 3.765 Å, α = 90.00°, β = 90.00° and γ = 90.00°. The inequivalent atoms are Pt at (0.000, 0.000, 0.000), W at (0.500, 0.500, 0.500), Se at (0.000, 0.500, 0.500) and N at (0.500, 0.500, 0.000).

---

Density functional theory data (PBE-GGA) for an optimized crystal structure of Be2TlCrCl8.

The value obtained for the uncorrected formation energy is -1.20 eV/atom. The value obtained for the density of states at the Fermi level is 0.00 states/eV per cell. The electronic total energy is -145.84 eV per cell.

It has space group R-3 (No. 148, hexagonal axes), with a = 5.9217 Å, b = 5.9217 Å, c = 29.0064 Å, α = 90.00°, β = 90.00° and γ = 120.00°. The inequivalent atoms are Be at (0.0000, 0.0000, 0.2371), Tl at (0.0000, 0.0000, 0.0000), Cr at (0.0000, 0.0000, 0.5000), Cl at (0.0000, 0.0000, 0.3050) and Cl at (0.0058, 0.3497, 0.1182).

---

Density functional theory data (PBE-GGA) for an optimized crystal structure of Ba2SeI2.

The value obtained for the uncorrected formation energy is -1.80 eV/atom. The value obtained for the density of states at the Fermi level is 0.00 states/eV per cell. The electronic total energy is -77.69 eV per cell.

It has space group Cmc2_1 (No. 36), with a = 5.081 Å, b = 19.942 Å, c = 9.128 Å, α = 90.00°, β = 90.00° and γ = 90.00°. The inequivalent atoms are Ba at (0.000, 0.046, 0.000), Ba at (0.000, 0.325, 0.911), Se at (0.000, 0.093, 0.331), I at (0.000, 0.301, 0.521) and I at (0.000, 0.443, 0.198).

---

Density functional theory data (PBE-GGA) for an optimized crystal structure of YHg2Cl.

The value obtained for the uncorrected formation energy is -0.61 eV/atom. The value obtained for the density of states at the Fermi level is 3.31 states/eV per cell. The electronic total energy is -22.73 eV per cell.

It has space group Cmmm (No. 65), with a = 5.724 Å, b = 9.997 Å, c = 3.625 Å, α = 90.00°, β = 90.00° and γ = 90.00°. The inequivalent atoms are Y at (0.000, 0.000, 0.000), Hg at (0.250, 0.250, 0.500) and Cl at (0.000, 0.500, 0.000).

---

Density functional theory data (PBE-GGA) for an optimized crystal structure of GeS2I.

The value obtained for the uncorrected formation energy is 0.47 eV/atom. The value obtained for the density of states at the Fermi level is 12.39 states/eV per cell. The electronic total energy is -37.68 eV per cell.

It has space group R-3m (No. 166, hexagonal axes), with a = 3.9000 Å, b = 3.9000 Å, c = 32.5495 Å, α = 90.00°, β = 90.00° and γ = 120.00°. The inequivalent atoms are Ge at (0.0000, 0.0000, 0.0000), S at (0.0000, 0.0000, 0.0616) and I at (0.0000, 0.0000, 0.5000).

---

Density functional theory data (PBE-GGA) for an optimized crystal structure of Ca2AsPPd6.

The value obtained for the density of states at the Fermi level is 7.82 states/eV per cell. The electronic total energy is -104.15 eV per cell. The calculation puts the energy of formation at -0.69 eV/atom.

It has space group Pmmn (No. 59, origin choice 2), with a = 6.233 Å, b = 8.937 Å, c = 7.089 Å, α = 90.00°, β = 90.00° and γ = 90.00°. The inequivalent atoms are Ca at (0.250, 0.028, 0.225), As at (0.250, 0.750, 0.773), P at (0.250, 0.250, 0.740), Pd at (0.023, 0.750, 0.480), Pd at (0.028, 0.750, 0.057) and Pd at (0.250, 0.004, 0.642).

---

Density functional theory data (PBE-GGA) for an optimized crystal structure of LaSc2Bi2.

The value obtained for the density of states at the Fermi level is 9.90 states/eV per cell. The electronic total energy is -56.73 eV per cell. The calculation puts the energy of formation at -0.60 eV/atom.

It has space group I4/mmm (No. 139), with a = 4.467 Å, b = 4.467 Å, c = 14.685 Å, α = 90.00°, β = 90.00° and γ = 90.00°. The inequivalent atoms are La at (0.000, 0.000, 0.000), Sc at (0.000, 0.500, 0.250) and Bi at (0.000, 0.000, 0.388).

---

Density functional theory data (PBE-GGA) for an optimized crystal structure of Ba2TlGaHg6.

The value obtained for the density of states at the Fermi level is 5.69 states/eV per cell. The electronic total energy is -13.74 eV per cell. The calculation puts the energy of formation at -0.27 eV/atom.

It has space group P-1 (No. 2), with a = 5.663 Å, b = 7.522 Å, c = 7.543 Å, α = 86.82°, β = 79.43° and γ = 77.46°. The inequivalent atoms are Ba at (0.028, 0.291, 0.269), Tl at (0.500, 0.000, 0.500), Ga at (0.500, 0.500, 0.000), Hg at (0.055, 0.223, 0.769), Hg at (0.352, 0.883, 0.946) and Hg at (0.459, 0.631, 0.344).

---

Density functional theory data (PBE-GGA) for an optimized crystal structure of CsCaAu3.

The value obtained for the density of states at the Fermi level is 1.24 states/eV per cell. The electronic total energy is -9.49 eV per cell. The calculation puts the energy of formation at 0.64 eV/atom.

It has space group Pm-3m (No. 221), with a = 6.028 Å, b = 6.028 Å, c = 6.028 Å, α = 90.00°, β = 90.00° and γ = 90.00°. The inequivalent atoms are Cs at (0.000, 0.000, 0.000), Ca at (0.500, 0.500, 0.500) and Au at (0.000, 0.000, 0.500).

---

Density functional theory data (PBE-GGA) for an optimized crystal structure of Y5MgBi4.

The value obtained for the density of states at the Fermi level is 14.35 states/eV per cell. The electronic total energy is -108.52 eV per cell. The calculation puts the energy of formation at -0.48 eV/atom.

It has space group C2/m (No. 12), with a = 19.681 Å, b = 4.378 Å, c = 7.782 Å, α = 90.00°, β = 100.44° and γ = 90.00°. The inequivalent atoms are Y at (0.000, 0.000, 0.000), Y at (0.184, 0.500, 0.586), Y at (0.192, 0.500, 0.121), Mg at (0.000, 0.000, 0.500), Bi at (0.056, 0.500, 0.289) and Bi at (0.140, 0.000, 0.838).

---

Density functional theory data (PBE-GGA) for an optimized crystal structure of LiErHgGe.

The value obtained for the density of states at the Fermi level is 5.98 states/eV per cell. The electronic total energy is -53.54 eV per cell. The calculation puts the energy of formation at -0.50 eV/atom.

It has space group F-43m (No. 216), with a = 6.952 Å, b = 6.952 Å, c = 6.952 Å, α = 90.00°, β = 90.00° and γ = 90.00°. The inequivalent atoms are Li at (0.000, 0.000, 0.000), Er at (0.000, 0.000, 0.500), Hg at (0.250, 0.250, 0.250) and Ge at (0.250, 0.250, 0.750).

---

Density functional theory data (PBE-GGA) for an optimized crystal structure of Lu2ScC.

The value obtained for the density of states at the Fermi level is 11.12 states/eV per cell. The electronic total energy is -74.92 eV per cell. The calculation puts the energy of formation at -0.09 eV/atom.

It has space group R-3m (No. 166, hexagonal axes), with a = 3.4191 Å, b = 3.4191 Å, c = 27.1915 Å, α = 90.00°, β = 90.00° and γ = 120.00°. The inequivalent atoms are Lu at (0.0000, 0.0000, 0.1184), Sc at (0.0000, 0.0000, 0.0000) and C at (0.0000, 0.0000, 0.5000).